No. 1
This record from Alexandria via LeMat-Bulk describes a relaxed HoAg2Sb2 crystal. The functional is GGA-PBE.

## Properties
N(E_F), states/eV/cell: 6.1
ΔE_f (raw), eV per atom: -0.4561
Raw total energy, eV per atom: -4.16

```
data_HoAg2Sb2
_cell_length_a 4.360
_cell_length_b 24.377
_cell_length_c 4.355
_cell_angle_alpha 90.00
_cell_angle_beta 90.00
_cell_angle_gamma 90.00
_space_group_name_H-M_alt 'C m c m'
_space_group_IT_number 63
_space_group_name_Hall '-C 2c 2'
loop_
_atom_site_label
_atom_site_type_symbol
_atom_site_fract_x
_atom_site_fract_y
_atom_site_fract_z
Ho1 Ho 0.000 0.151 0.250
Ag1 Ag 0.000 0.041 0.750
Ag2 Ag 0.000 0.460 0.750
Sb1 Sb 0.000 0.250 0.750
Sb2 Sb 0.000 0.382 0.250
```

---

No. 2
This record from Alexandria via LeMat-Bulk describes a relaxed HoAg2SbSe4 crystal. The functional is GGA-PBE.

## Properties
N(E_F), states/eV/cell: 0.2
ΔE_f (raw), eV per atom: -0.6669
Raw total energy, eV per atom: -4.21

```
data_HoAg2SbSe4
_cell_length_a 6.936
_cell_length_b 4.147
_cell_length_c 7.203
_cell_angle_alpha 90.00
_cell_angle_beta 110.32
_cell_angle_gamma 90.00
_space_group_name_H-M_alt 'P 1 2/m 1'
_space_group_IT_number 10
_space_group_name_Hall '-P 2y'
loop_
_atom_site_label
_atom_site_type_symbol
_atom_site_fract_x
_atom_site_fract_y
_atom_site_fract_z
Ho1 Ho 0.000 0.000 0.000
Ag1 Ag 0.500 0.000 0.500
Ag2 Ag 0.500 0.500 0.000
Sb1 Sb 0.000 0.500 0.500
Se1 Se 0.246 0.500 0.248
Se2 Se 0.252 0.000 0.753
```

---

No. 3
This record from Alexandria via LeMat-Bulk describes a relaxed Ho2Ag3SbSe6 crystal. The functional is GGA-PBE.

## Properties
ΔE_f (raw), eV per atom: -0.8329
Raw total energy, eV per atom: -4.39

```
data_Ho2Ag3SbSe6
_cell_length_a 17.655
_cell_length_b 4.149
_cell_length_c 8.088
_cell_angle_alpha 90.00
_cell_angle_beta 100.68
_cell_angle_gamma 90.00
_space_group_name_H-M_alt 'C 1 2/m 1'
_space_group_IT_number 12
_space_group_name_Hall '-C 2y'
loop_
_atom_site_label
_atom_site_type_symbol
_atom_site_fract_x
_atom_site_fract_y
_atom_site_fract_z
Ho1 Ho 0.168 0.000 0.325
Ag1 Ag 0.000 0.500 0.500
Ag2 Ag 0.171 0.000 0.818
Sb1 Sb 0.000 0.500 0.000
Se1 Se 0.001 0.000 0.252
Se2 Se 0.166 0.500 0.079
Se3 Se 0.167 0.500 0.573
```

---

No. 4
This record from Alexandria via LeMat-Bulk describes a relaxed HoAg2SbTe4 crystal. The functional is GGA-PBE.

## Properties
N(E_F), states/eV/cell: 0.8
ΔE_f (raw), eV per atom: -0.4473
Raw total energy, eV per atom: -3.82

```
data_HoAg2SbTe4
_cell_length_a 7.398
_cell_length_b 4.385
_cell_length_c 7.613
_cell_angle_alpha 90.00
_cell_angle_beta 110.03
_cell_angle_gamma 90.00
_space_group_name_H-M_alt 'P 1 2/m 1'
_space_group_IT_number 10
_space_group_name_Hall '-P 2y'
loop_
_atom_site_label
_atom_site_type_symbol
_atom_site_fract_x
_atom_site_fract_y
_atom_site_fract_z
Ho1 Ho 0.000 0.000 0.000
Ag1 Ag 0.500 0.000 0.500
Ag2 Ag 0.500 0.500 0.000
Sb1 Sb 0.000 0.500 0.500
Te1 Te 0.254 0.500 0.251
Te2 Te 0.259 0.000 0.753
```

---

No. 5
This record from Alexandria via LeMat-Bulk describes a relaxed Ho3Sc2Ag2 crystal. The functional is GGA-PBE.

## Properties
N(E_F), states/eV/cell: 15.8
Formation energy from the elements, eV per atom: -0.01
ΔE to the lowest computed polymorph, meV/atom: 87
Raw total energy, eV per atom: -4.59

```
data_Ho3Sc2Ag2
_cell_length_a 4.767
_cell_length_b 21.647
_cell_length_c 3.357
_cell_angle_alpha 90.00
_cell_angle_beta 90.00
_cell_angle_gamma 90.00
_space_group_name_H-M_alt 'C m m m'
_space_group_IT_number 65
_space_group_name_Hall '-C 2 2'
loop_
_atom_site_label
_atom_site_type_symbol
_atom_site_fract_x
_atom_site_fract_y
_atom_site_fract_z
Ho1 Ho 0.000 0.000 0.000
Ho2 Ho 0.000 0.149 0.000
Sc1 Sc 0.000 0.287 0.500
Ag1 Ag 0.000 0.427 0.500
```

---

No. 6
This record from Alexandria via LeMat-Bulk describes a relaxed HoSc2Ag crystal. The functional is GGA-PBE.

## Properties
N(E_F), states/eV/cell: 22.4
Formation energy from the elements, eV per atom: 0.09
ΔE to the lowest computed polymorph, meV/atom: 197
Raw total energy, eV per atom: -4.93

```
data_HoSc2Ag
_cell_length_a 7.211
_cell_length_b 7.211
_cell_length_c 7.211
_cell_angle_alpha 90.00
_cell_angle_beta 90.00
_cell_angle_gamma 90.00
_space_group_name_H-M_alt 'F m -3 m'
_space_group_IT_number 225
_space_group_name_Hall '-F 4 2 3'
loop_
_atom_site_label
_atom_site_type_symbol
_atom_site_fract_x
_atom_site_fract_y
_atom_site_fract_z
Ho1 Ho 0.000 0.000 0.000
Sc1 Sc 0.250 0.250 0.250
Ag1 Ag 0.000 0.000 0.500
```

---

No. 7
This record from Alexandria via LeMat-Bulk describes a relaxed Ho3Sc2Ag2 crystal. The functional is GGA-PBE.

## Properties
N(E_F), states/eV/cell: 22.2
Formation energy from the elements, eV per atom: -0.10
ΔE to the lowest computed polymorph, meV/atom: 0
Raw total energy, eV per atom: -4.68

```
data_Ho3Sc2Ag2
_cell_length_a 12.847
_cell_length_b 3.531
_cell_length_c 8.796
_cell_angle_alpha 90.00
_cell_angle_beta 115.34
_cell_angle_gamma 90.00
_space_group_name_H-M_alt 'C 1 2/m 1'
_space_group_IT_number 12
_space_group_name_Hall '-C 2y'
loop_
_atom_site_label
_atom_site_type_symbol
_atom_site_fract_x
_atom_site_fract_y
_atom_site_fract_z
Ho1 Ho 0.000 0.000 0.000
Ho2 Ho 0.108 0.000 0.444
Sc1 Sc 0.142 0.500 0.814
Ag1 Ag 0.185 0.500 0.220
```

---

No. 8
This record from Alexandria via LeMat-Bulk describes a relaxed Ho3Sc2Ag3 crystal. The functional is GGA-PBE.

## Properties
N(E_F), states/eV/cell: 15.1
Formation energy from the elements, eV per atom: -0.23
Raw total energy, eV per atom: -4.60

```
data_Ho3Sc2Ag3
_cell_length_a 3.554
_cell_length_b 5.118
_cell_length_c 21.061
_cell_angle_alpha 90.00
_cell_angle_beta 90.00
_cell_angle_gamma 90.00
_space_group_name_H-M_alt 'I m m m'
_space_group_IT_number 71
_space_group_name_Hall '-I 2 2'
loop_
_atom_site_label
_atom_site_type_symbol
_atom_site_fract_x
_atom_site_fract_y
_atom_site_fract_z
Ho1 Ho 0.000 0.000 0.000
Ho2 Ho 0.000 0.500 0.124
Sc1 Sc 0.000 0.000 0.234
Ag1 Ag 0.000 0.000 0.500
Ag2 Ag 0.000 0.500 0.377
```

---

No. 9
This record from Alexandria via LeMat-Bulk describes a relaxed HoScAg4 crystal. The functional is GGA-PBE.

## Properties
N(E_F), states/eV/cell: 27.5
Formation energy from the elements, eV per atom: -0.13
ΔE to the lowest computed polymorph, meV/atom: 174
Raw total energy, eV per atom: -3.85

```
data_HoScAg4
_cell_length_a 7.944
_cell_length_b 7.944
_cell_length_c 7.944
_cell_angle_alpha 90.00
_cell_angle_beta 90.00
_cell_angle_gamma 90.00
_space_group_name_H-M_alt 'F -4 3 m'
_space_group_IT_number 216
_space_group_name_Hall 'F -4 2 3'
loop_
_atom_site_label
_atom_site_type_symbol
_atom_site_fract_x
_atom_site_fract_y
_atom_site_fract_z
Ho1 Ho 0.000 0.000 0.000
Sc1 Sc 0.250 0.250 0.250
Ag1 Ag 0.125 0.125 0.625
```

---

No. 10
This record from Alexandria via LeMat-Bulk describes a relaxed HoScAg4 crystal. The functional is GGA-PBE.

## Properties
N(E_F), states/eV/cell: 6.0
Formation energy from the elements, eV per atom: -0.29
ΔE to the lowest computed polymorph, meV/atom: 5
Raw total energy, eV per atom: -4.01

```
data_HoScAg4
_cell_length_a 5.169
_cell_length_b 9.118
_cell_length_c 5.154
_cell_angle_alpha 90.00
_cell_angle_beta 90.06
_cell_angle_gamma 90.00
_space_group_name_H-M_alt 'C 1 2/m 1'
_space_group_IT_number 12
_space_group_name_Hall '-C 2y'
loop_
_atom_site_label
_atom_site_type_symbol
_atom_site_fract_x
_atom_site_fract_y
_atom_site_fract_z
Ho1 Ho 0.000 0.000 0.000
Sc1 Sc 0.000 0.500 0.500
Ag1 Ag 0.000 0.171 0.500
Ag2 Ag 0.000 0.335 0.000
```

---

No. 11
This record from Alexandria via LeMat-Bulk describes a relaxed HoSc2Ag2 crystal. The functional is GGA-PBE.

## Properties
N(E_F), states/eV/cell: 9.9
Formation energy from the elements, eV per atom: -0.21
ΔE to the lowest computed polymorph, meV/atom: 0
Raw total energy, eV per atom: -4.80

```
data_HoSc2Ag2
_cell_length_a 3.471
_cell_length_b 5.041
_cell_length_c 12.988
_cell_angle_alpha 90.00
_cell_angle_beta 97.67
_cell_angle_gamma 90.00
_space_group_name_H-M_alt 'P 1 21/m 1'
_space_group_IT_number 11
_space_group_name_Hall '-P 2yb'
loop_
_atom_site_label
_atom_site_type_symbol
_atom_site_fract_x
_atom_site_fract_y
_atom_site_fract_z
Ho1 Ho 0.146 0.250 0.292
Sc1 Sc 0.047 0.750 0.095
Sc2 Sc 0.236 0.750 0.472
Ag1 Ag 0.357 0.250 0.714
Ag2 Ag 0.456 0.750 0.912
```

---

No. 12
This record from Alexandria via LeMat-Bulk describes a relaxed Ho2ScAg crystal. The functional is GGA-PBE.

## Properties
N(E_F), states/eV/cell: 17.2
Formation energy from the elements, eV per atom: 0.00
ΔE to the lowest computed polymorph, meV/atom: 113
Raw total energy, eV per atom: -4.59

```
data_Ho2ScAg
_cell_length_a 3.4628
_cell_length_b 3.4628
_cell_length_c 30.4556
_cell_angle_alpha 90.00
_cell_angle_beta 90.00
_cell_angle_gamma 120.00
_space_group_name_H-M_alt 'R 3 m'
_space_group_IT_number 160
_space_group_name_Hall 'R 3 -2"'
loop_
_atom_site_label
_atom_site_type_symbol
_atom_site_fract_x
_atom_site_fract_y
_atom_site_fract_z
Ho1 Ho 0.0000 0.0000 0.0000
Ho2 Ho 0.0000 0.0000 0.1754
Sc1 Sc 0.0000 0.0000 0.4209
Ag1 Ag 0.0000 0.0000 0.5880
```